Entry 1:
Material: Mn2BeIn2
Method: DFT, PBE-GGA
State: relaxed

abc: 6.064 6.064 4.296
angles: 90.00 90.00 90.00
Space group P4/mbm (No. 127)
Unique sites:
Mn 0.147 0.353 0.000
Be 0.000 0.000 0.000
In 0.168 0.668 0.500

Summary:
**Calculated total energy**: -0.385 Ry/atom
**Calculated density**: 7.3 Mg/m³
**Calculated volume**: 158.0 Å³ per cell
**Energy of formation**: 268 meV/atom

Entry 2:
Material: GaCuPdF6
Method: DFT, PBE-GGA
State: relaxed

abc: 5.3426 5.3426 9.6011
angles: 90.00 90.00 120.00
Space group P-31c (No. 163)
Unique sites:
Ga 0.3333 0.6667 0.2500
Cu 0.3333 0.6667 0.7500
Pd 0.0000 0.0000 0.0000
F 0.0265 0.3695 0.1387

Summary:
**Calculated total energy**: -0.322 Ry/atom
**Calculated density**: 4.9 Mg/m³
**Calculated volume**: 237.3 Å³ per cell
**Raw formation energy**: -1758.9 meV per atom